(1)
Density functional theory data (PBE) for Re2RhCl after structural relaxation.

Summary:
Uncorrected energy   -30.1 eV per cell
V   59.1 Å³ per cell
Magnetic moment   0.0000 μB/atom
Formation energy (no corrections)   0.993 eV per atom

Cell: 4.6054 4.6054 2.7865 Å, 90.00 90.00 90.00°
Last column: nearest neighbours and their distance in Å.
Space group P4/mmm (No. 123)
Unique sites:
Re: 0.0000 0.5000 0.0000 x2  4 Cl 2.69, 4 Rh 2.69, 2 Re 2.79
Rh: 0.0000 0.0000 0.5000 x1  8 Re 2.69, 2 Rh 2.79
Cl: 0.5000 0.5000 0.5000 x1  8 Re 2.69, 2 Cl 2.79

(2)
Density functional theory data (PBE) for Re2RhCl after structural relaxation.

Summary:
Uncorrected energy   -29.0 eV per cell
V   64.6 Å³ per cell
Magnetic moment   0.0000 μB/atom
Formation energy (no corrections)   1.268 eV per atom

Cell: 3.6031 3.6031 4.9779 Å, 90.00 90.00 90.00°
Last column: nearest neighbours and their distance in Å.
Space group P4/mmm (No. 123)
Unique sites:
Re: 0.0000 0.5000 0.0000 x2  4 Re 2.55
Rh: 0.0000 0.0000 0.5000 x1  4 Cl 2.55
Cl: 0.5000 0.5000 0.5000 x1  4 Rh 2.55

(3)
Density functional theory data (PBE) for Re2RhCl after structural relaxation.

Summary:
Uncorrected energy   -121.3 eV per cell
V   234.7 Å³ per cell
Magnetic moment   0.0000 μB/atom
Formation energy (no corrections)   0.941 eV per atom

Cell: 6.1684 6.1684 6.1684 Å, 90.00 90.00 90.00°
Last column: nearest neighbours and their distance in Å.
Space group Fm-3m (No. 225)
Unique sites:
Re: 0.2500 0.2500 0.2500 x8  4 Cl 2.67, 4 Rh 2.67
Rh: 0.0000 0.0000 0.0000 x4  8 Re 2.67
Cl: 0.0000 0.0000 0.5000 x4  8 Re 2.67